11
Lattice="5.8009 0.0000 0.0000 2.9005 5.0238 0.0000 2.9005 1.6746 5.3034" Properties=species:S:1:pos:R:3 comment="Li2La2InO6 GGA-PBE optimized geometry" dos_ef_per_ev_cell=4.07 total_magnetization_mub_per_fu=1.1 final_energy_ev_per_cell=-69.650 space_group=R-3m e_form_raw_mev_per_atom=-2134 vol_a3_per_cell=154.6 pbc="T T T"
O 5.8009 1.5522 1.5048
O 5.8009 5.1462 3.7985
O 7.3572 2.4507 3.7985
O 7.3572 4.2477 1.5048
O 4.2447 2.4507 3.7985
O 4.2447 4.2477 1.5048
Li 5.8009 3.3492 1.4690
Li 5.8009 3.3492 3.8343
In 0.0000 0.0000 0.0000
La 8.7014 5.0238 3.3025
La 2.9005 1.6746 2.0009